First-principles (PBE) data for Na3TlCu4Br12 after structural relaxation, as listed in Alexandria via LeMat-Bulk.

Cell lengths 9.1841, 9.1841, 9.1841 Å; angles 101.26, 101.26, 101.26 degrees
Fractional coordinates of all 20 atoms:
Na 0.0000 0.5502 0.4498
Na 0.4498 0.0000 0.5502
Na 0.5502 0.4498 0.0000
Tl 0.0000 0.0000 0.0000
Cu 0.0637 0.5000 0.9363
Cu 0.5000 0.5000 0.5000
Cu 0.5000 0.9363 0.0637
Cu 0.9363 0.0637 0.5000
Br 0.0016 0.6560 0.7809
Br 0.1020 0.8980 0.5000
Br 0.2191 0.3440 0.9984
Br 0.3369 0.6631 0.5000
Br 0.3440 0.9984 0.2191
Br 0.5000 0.1020 0.8980
Br 0.5000 0.3369 0.6631
Br 0.6560 0.7809 0.0016
Br 0.6631 0.5000 0.3369
Br 0.7809 0.0016 0.6560
Br 0.8980 0.5000 0.1020
Br 0.9984 0.2191 0.3440

Properties
Formation energy (no corrections): -647 meV/atom
Crystal system: trigonal
Space-group type: R32